[1]
A plane-wave DFT calculation with SCAN was carried out for a PBEsol-optimized structure of SrCuNi.

Summary:
As for the density of states at the Fermi level: 5.7 states/eV/cell. The value obtained for the formation energy is 492.4 meV/atom. The uncorrected energy comes out at -208.68 eV/cell. The magnetic moment is 1.4 Bohr magnetons per cell.

Unit cell a=6.339 b=6.339 c=6.339 alpha=90.00 beta=90.00 gamma=90.00
Space group F-43m (No. 216)
Inequivalent atoms, fractional coordinates:
Sr 0.000 0.000 0.000 (multiplicity 4)
Cu 0.250 0.250 0.750 (multiplicity 4)
Ni 0.000 0.000 0.500 (multiplicity 4)

=====

[2]
A plane-wave DFT calculation with SCAN was carried out for a PBEsol-optimized structure of Sr2CuNi.

Summary:
As for the density of states at the Fermi level: 4.6 states/eV/cell. The value obtained for the formation energy is 5.4 meV/atom. The uncorrected energy comes out at -151.80 eV/cell. The magnetic moment is 0.0 Bohr magnetons per cell.

Unit cell a=4.216 b=4.313 c=11.239 alpha=90.00 beta=90.00 gamma=90.00
Space group Amm2 (No. 38)
Inequivalent atoms, fractional coordinates:
Sr 0.000 0.000 0.000 (multiplicity 2)
Sr 0.500 0.000 0.279 (multiplicity 2)
Cu 0.000 0.000 0.692 (multiplicity 2)
Ni 0.500 0.000 0.590 (multiplicity 2)

=====

Please write out number 2 again, unchanged.
A plane-wave DFT calculation with SCAN was carried out for a PBEsol-optimized structure of Sr2CuNi.

Summary:
As for the density of states at the Fermi level: 4.6 states/eV/cell. The value obtained for the formation energy is 5.4 meV/atom. The uncorrected energy comes out at -151.80 eV/cell. The magnetic moment is 0.0 Bohr magnetons per cell.

Unit cell a=4.216 b=4.313 c=11.239 alpha=90.00 beta=90.00 gamma=90.00
Space group Amm2 (No. 38)
Inequivalent atoms, fractional coordinates:
Sr 0.000 0.000 0.000 (multiplicity 2)
Sr 0.500 0.000 0.279 (multiplicity 2)
Cu 0.000 0.000 0.692 (multiplicity 2)
Ni 0.500 0.000 0.590 (multiplicity 2)

=====

Which formula does entry 2 have? Sr2CuNi

=====

What did the first record say?
A plane-wave DFT calculation with SCAN was carried out for a PBEsol-optimized structure of SrCuNi.

Summary:
As for the density of states at the Fermi level: 5.7 states/eV/cell. The value obtained for the formation energy is 492.4 meV/atom. The uncorrected energy comes out at -208.68 eV/cell. The magnetic moment is 1.4 Bohr magnetons per cell.

Unit cell a=6.339 b=6.339 c=6.339 alpha=90.00 beta=90.00 gamma=90.00
Space group F-43m (No. 216)
Inequivalent atoms, fractional coordinates:
Sr 0.000 0.000 0.000 (multiplicity 4)
Cu 0.250 0.250 0.750 (multiplicity 4)
Ni 0.000 0.000 0.500 (multiplicity 4)

=====

Repeat the second record exactly.
A plane-wave DFT calculation with SCAN was carried out for a PBEsol-optimized structure of Sr2CuNi.

Summary:
As for the density of states at the Fermi level: 4.6 states/eV/cell. The value obtained for the formation energy is 5.4 meV/atom. The uncorrected energy comes out at -151.80 eV/cell. The magnetic moment is 0.0 Bohr magnetons per cell.

Unit cell a=4.216 b=4.313 c=11.239 alpha=90.00 beta=90.00 gamma=90.00
Space group Amm2 (No. 38)
Inequivalent atoms, fractional coordinates:
Sr 0.000 0.000 0.000 (multiplicity 2)
Sr 0.500 0.000 0.279 (multiplicity 2)
Cu 0.000 0.000 0.692 (multiplicity 2)
Ni 0.500 0.000 0.590 (multiplicity 2)